The following is a DFT calculation (PBE-GGA) of an optimized crystal structure of TlIn2HgTe.

Structure (POSCAR):
```
TlIn2HgTe
1.0
6.484 0.000 0.000
0.000 6.964 0.000
0.000 -3.482 7.133
Tl In Hg Te
2 4 2 2
direct
0.750 0.769 0.538
0.250 0.231 0.462
0.500 0.284 0.000
0.000 0.716 0.000
0.500 0.716 0.000
0.000 0.284 0.000
0.250 0.888 0.776
0.750 0.112 0.224
0.250 0.680 0.361
0.750 0.320 0.639
```

Summary:
Formation energy without anion corrections, meV/atom: -54.3
Total magnetic moment, μB/cell: 0.00